No. 1
## Pm3DyHo3S8 (PBE)

Data for a relaxed Pm3DyHo3S8 crystal.

a = 7.930 Å, b = 7.930 Å, c = 7.930 Å
α = 59.47°, β = 59.47°, γ = 59.47°
Sites, in units of the cell vectors:
Pm  0.000  0.500  0.500
Pm  0.500  0.000  0.500
Pm  0.500  0.500  0.000
Dy  0.500  0.500  0.500
Ho  0.000  0.000  0.500
Ho  0.000  0.500  0.000
Ho  0.500  0.000  0.000
S  0.243  0.748  0.748
S  0.246  0.246  0.246
S  0.252  0.252  0.757
S  0.252  0.757  0.252
S  0.748  0.243  0.748
S  0.748  0.748  0.243
S  0.754  0.754  0.754
S  0.757  0.252  0.252

Summary:
ΔE_f (raw), eV per atom: -2.05
ρ, kg/m3: 6430
SG: No. 166
DFT total energy, eV/atom: -6.43
DOS(E_F), states/eV per cell: 6.84



No. 2
## H2OsN (PBE)

Data for a relaxed H2OsN crystal.

a = 5.198 Å, b = 5.198 Å, c = 3.237 Å
α = 90.82°, β = 90.82°, γ = 35.23°
Sites, in units of the cell vectors:
H  0.000  0.000  0.000
H  0.585  0.585  0.004
Os  0.422  0.422  0.996
N  0.335  0.335  0.492

Summary:
ρ, kg/m3: 6790
Polymorph energy (0 for the lowest one), eV/atom: 0.338
SG: No. 8
DFT total energy, eV/atom: -6.10
DOS(E_F), states/eV per cell: 1.63



Which value of DOS(E_F) does entry 1 give? 6.84 states/eV per cell